1.
A relaxed structure of Tl2CrIrO8, computed with GGA+U.

Calculated values
DOS at the Fermi energy = 5.33 states/eV per cell
energy = -5.823 eV/atom
calculated volume = 12.95 Å³ per atom

Cell lengths 4.898, 6.468, 4.907 Å; angles 90.00, 91.80, 90.00 degrees
Space group P2/m (No. 10)
Symmetry-distinct sites (fractional):
1 Tl 0.000 0.245 0.000 x2
2 Cr 0.500 0.000 0.500 x1
3 Ir 0.500 0.500 0.500 x1
4 O 0.223 0.500 0.221 x2
5 O 0.228 0.000 0.226 x2
6 O 0.328 0.253 0.670 x4

***

2.
A relaxed structure of YCr2IrO8, computed with GGA+U.

Calculated values
DOS at the Fermi energy = 5.03 states/eV per cell
energy = -7.507 eV/atom
calculated volume = 11.66 Å³ per atom

Cell lengths 4.703, 6.320, 4.709 Å; angles 90.00, 90.76, 90.00 degrees
Space group P2/m (No. 10)
Symmetry-distinct sites (fractional):
1 Y 0.000 0.000 0.000 x1
2 Cr 0.500 0.249 0.500 x2
3 Ir 0.000 0.500 0.000 x1
4 O 0.208 0.282 0.206 x4
5 O 0.293 0.500 0.706 x2
6 O 0.324 0.000 0.674 x2